Record 1
# KCo2As2

Crystalline KCo2As2 at its relaxed geometry (PBE-GGA, Alexandria via LeMat-Bulk).

The calculation puts the density of states at the Fermi level at 0.95 states/eV per atom. The calculated volume is 19.825 Å³/atom. Its calculated formation energy is -0.182 eV per atom. The energy is -5.1036 eV per atom.

a b c (Å): 3.6124 3.6124 7.5962
angles (deg): 90.00 90.00 90.00
Last column: nearest neighbours and their distance in Å.
Atoms (fractional coordinates):
K: 0.0000 0.0000 0.0000  8 As 3.40, 4 K 3.61
Co: 0.5000 0.0000 0.5000  4 As 2.38, 4 Co 2.55
Co: 0.0000 0.5000 0.5000  4 As 2.38, 4 Co 2.55
As: 0.5000 0.5000 0.7042  4 Co 2.38
As: 0.5000 0.5000 0.2958  4 Co 2.38

=====

Record 2
# KCo2As2

Crystalline KCo2As2 at its relaxed geometry (PBE-GGA, Alexandria via LeMat-Bulk).

The calculation puts the density of states at the Fermi level at 0.61 states/eV per atom. The calculated volume is 17.149 Å³/atom. Its calculated formation energy is 0.092 eV per atom. The energy is -4.8295 eV per atom.

a b c (Å): 7.7337 7.7337 2.8672
angles (deg): 90.00 90.00 90.00
Last column: nearest neighbours and their distance in Å.
Atoms (fractional coordinates):
As: 0.1404 0.6404 0.5000  4 Co 2.45
As: 0.6404 0.8596 0.5000  4 Co 2.45
As: 0.8596 0.3596 0.5000  4 Co 2.45
As: 0.3596 0.1404 0.5000  4 Co 2.45
Co: 0.3841 0.8841 0.0000  4 As 2.45, 1 Co 2.54
Co: 0.8841 0.6159 0.0000  4 As 2.45, 1 Co 2.54
Co: 0.6159 0.1159 0.0000  4 As 2.45, 1 Co 2.54
Co: 0.1159 0.3841 0.0000  4 As 2.45, 1 Co 2.54
K: 0.0000 0.0000 0.0000  2 K 2.87, 4 Co 3.10
K: 0.5000 0.5000 0.0000  2 K 2.87, 4 Co 3.10

=====

Record 3
# KLiCo2As

Crystalline KLiCo2As at its relaxed geometry (PBE-GGA, Alexandria via LeMat-Bulk).

The calculation puts the density of states at the Fermi level at 2.91 states/eV per atom. The calculated volume is 24.734 Å³/atom. Its calculated formation energy is 1.916 eV per atom. The energy is -2.4583 eV per atom.

a b c (Å): 4.6969 5.6058 4.6969
angles (deg): 90.00 90.00 90.00
Last column: nearest neighbours and their distance in Å.
Atoms (fractional coordinates):
As: 0.0000 0.5000 0.0000  2 K 2.80
Co: 0.0000 0.0000 0.5000  2 K 2.35
Co: 0.5000 0.0000 0.0000  2 K 2.35
K: 0.0000 0.0000 0.0000  4 Co 2.35
Li: 0.5000 0.5000 0.5000  4 As 3.32, 8 Co 3.66

=====

Record 4
# KCoMo2As

Crystalline KCoMo2As at its relaxed geometry (PBE-GGA, Alexandria via LeMat-Bulk).

The calculation puts the density of states at the Fermi level at 2.43 states/eV per atom. The calculated volume is 24.704 Å³/atom. Its calculated formation energy is 1.664 eV per atom. The energy is -5.2395 eV per atom.

a b c (Å): 4.7108 5.5661 4.7108
angles (deg): 90.00 90.00 90.00
Last column: nearest neighbours and their distance in Å.
Atoms (fractional coordinates):
K: 0.0000 0.5000 0.0000  2 As 2.78
Mo: 0.0000 0.0000 0.5000  2 As 2.36
Mo: 0.5000 0.0000 0.0000  2 As 2.36
Co: 0.5000 0.5000 0.5000  4 K 3.33, 8 Mo 3.65
As: 0.0000 0.0000 0.0000  4 Mo 2.36